! La2TlIn2Rh5 | the Alexandria database | GGA-PBE | optimized geometry; values from VASP
! Total magnetization (Bohr magnetons per cell): 0.00
! DOS at the Fermi energy (states/eV/cell): 12.9
! Energy of formation from the pure elements (kcal/mol of atoms): -8.9
! V (Å³ per cell): 408
! Theoretical density (g/cm³): 9.99
&SYSTEM
  ibrav = 0, nat = 20, ntyp = 4
/
ATOMIC_SPECIES
La 138.91 La.upf
Tl 204.38 Tl.upf
In 114.82 In.upf
Rh 102.91 Rh.upf
ATOMIC_POSITIONS crystal
La 0.1735 0.3265 0.0000
La 0.3265 0.8265 0.0000
La 0.6735 0.1735 0.0000
La 0.8265 0.6735 0.0000
Tl 0.0000 0.0000 0.0000
Tl 0.5000 0.5000 0.0000
In 0.1247 0.6247 0.0000
In 0.3753 0.1247 0.0000
In 0.6247 0.8753 0.0000
In 0.8753 0.3753 0.0000
Rh 0.0000 0.5000 0.5000
Rh 0.0620 0.7976 0.5000
Rh 0.2024 0.0620 0.5000
Rh 0.2976 0.5620 0.5000
Rh 0.4380 0.2976 0.5000
Rh 0.5000 0.0000 0.5000
Rh 0.5620 0.7024 0.5000
Rh 0.7024 0.4380 0.5000
Rh 0.7976 0.9380 0.5000
Rh 0.9380 0.2024 0.5000
CELL_PARAMETERS angstrom
10.3363 0.0000 0.0000
0.0000 10.3363 0.0000
0.0000 0.0000 3.8159